(1)
The following is a DFT calculation (GGA-PBE) of a relaxed structure of Ba3NaIn2.

## Properties
Its volume is 42.78 Å³ per atom. As for the formation energy: -300 meV/atom. As for the crystal system: tetragonal. For the mass density, the calculation gives 4.3 Mg/m³.

Cell lengths 4.3190, 4.3190, 13.7604 Å; angles 90.00, 90.00, 90.00 degrees
Sites, in units of the cell vectors:
Ba 0.0000 0.0000 0.0000
In 0.5000 0.5000 0.8483
Na 0.5000 0.5000 0.5000
In 0.5000 0.5000 0.1517
Ba 0.0000 0.0000 0.7023
Ba 0.0000 0.0000 0.2977

=====

(2)
The following is a DFT calculation (GGA-PBE) of a relaxed structure of BaNa6In2.

## Properties
Its volume is 35.92 Å³ per atom. As for the formation energy: -101 meV/atom. As for the crystal system: tetragonal. For the mass density, the calculation gives 2.6 Mg/m³.

Cell lengths 5.1437, 5.1437, 12.2174 Å; angles 90.00, 90.00, 90.00 degrees
Sites, in units of the cell vectors:
In 0.5000 0.5000 0.8823
Na 0.5000 0.0000 0.2765
Ba 0.0000 0.0000 0.0000
Na 0.0000 0.0000 0.5000
Na 0.5000 0.5000 0.5000
In 0.5000 0.5000 0.1177
Na 0.0000 0.5000 0.7235
Na 0.5000 0.0000 0.7235
Na 0.0000 0.5000 0.2765

=====

(3)
The following is a DFT calculation (GGA-PBE) of a relaxed structure of BaNa8In4.

## Properties
Its volume is 31.85 Å³ per atom. As for the formation energy: -111 meV/atom. As for the crystal system: tetragonal. For the mass density, the calculation gives 3.1 Mg/m³.

Cell lengths 6.5673, 8.5924, 8.5924 Å; angles 81.60, 67.53, 67.53 degrees
Sites, in units of the cell vectors:
Na 0.0000 0.3428 0.6572
Na 0.6572 0.3428 0.3428
In 0.5000 0.5000 0.0000
In 0.0000 0.0000 0.5000
Ba 0.0000 0.0000 0.0000
Na 0.2773 0.2227 0.2227
Na 0.5000 0.7773 0.2227
Na 0.0000 0.6572 0.3428
In 0.0000 0.5000 0.0000
Na 0.3428 0.6572 0.6572
In 0.5000 0.0000 0.5000
Na 0.7227 0.7773 0.7773
Na 0.5000 0.2227 0.7773

=====

(4)
The following is a DFT calculation (GGA-PBE) of a relaxed structure of BaNa2In6.

## Properties
Its volume is 28.74 Å³ per atom. As for the energy above the most stable polymorph in this dataset: 0.0 kJ per mole of atoms. As for the formation energy: -187 meV/atom. As for the crystal system: hexagonal. For the mass density, the calculation gives 5.6 Mg/m³.

Cell lengths 3.4378, 9.3216, 9.3216 Å; angles 120.00, 90.00, 90.00 degrees
Sites, in units of the cell vectors:
Na 0.0000 0.6667 0.3333
Na 0.0000 0.3333 0.6667
In 0.5000 0.0000 0.6584
In 0.5000 0.6584 0.6584
In 0.5000 0.0000 0.3416
In 0.5000 0.3416 0.3416
Ba 0.0000 0.0000 0.0000
In 0.5000 0.3416 0.0000
In 0.5000 0.6584 0.0000

=====

(5)
The following is a DFT calculation (GGA-PBE) of a relaxed structure of BaNa2In9.

## Properties
Its volume is 29.75 Å³ per atom. As for the formation energy: -153 meV/atom. As for the crystal system: trigonal. For the mass density, the calculation gives 5.7 Mg/m³.

Cell lengths 6.3350, 6.3350, 10.9029 Å; angles 73.11, 73.11, 60.00 degrees
Sites, in units of the cell vectors:
Na 0.1427 0.1427 0.5720
In 0.3368 0.3368 0.9896
In 0.9219 0.4091 0.2598
In 0.5909 0.5909 0.7402
In 0.5000 0.5000 0.5000
In 0.4091 0.4091 0.2598
Ba 0.0000 0.0000 0.0000
In 0.4091 0.9219 0.2598
In 0.5909 0.0781 0.7402
In 0.6632 0.6632 0.0104
In 0.0781 0.5909 0.7402
Na 0.8573 0.8573 0.4280

=====

(6)
The following is a DFT calculation (GGA-PBE) of a relaxed structure of Ba6NaIn2.

## Properties
Its volume is 50.12 Å³ per atom. As for the energy above the most stable polymorph in this dataset: 2.9 kJ per mole of atoms. As for the formation energy: -155 meV/atom. As for the crystal system: monoclinic. For the mass density, the calculation gives 4.0 Mg/m³.

Cell lengths 9.5268, 10.7183, 10.6635 Å; angles 90.00, 55.94, 90.00 degrees
Sites, in units of the cell vectors:
Na 0.5000 0.5000 0.0000
Ba 0.7294 0.9991 0.3046
Ba 0.2641 0.3073 0.4351
Ba 0.7646 0.8059 0.9353
Ba 0.7641 0.1927 0.9351
In 0.4014 0.0010 0.2517
Ba 0.2354 0.1941 0.0647
Na 0.0000 0.0000 0.5000
In 0.0986 0.5010 0.2483
Ba 0.2359 0.8073 0.0649
Ba 0.2706 0.0009 0.6954
Ba 0.7354 0.3059 0.5647
In 0.5986 0.9990 0.7483
Ba 0.7706 0.4991 0.1954
Ba 0.2646 0.6941 0.4353
In 0.9014 0.4990 0.7517
Ba 0.2294 0.5009 0.8046
Ba 0.7359 0.6927 0.5649

=====

(7)
The following is a DFT calculation (GGA-PBE) of a relaxed structure of Ba6Na23In.

## Properties
Its volume is 42.51 Å³ per atom. As for the formation energy: -29 meV/atom. As for the crystal system: cubic. For the mass density, the calculation gives 1.9 Mg/m³.

Cell lengths 12.1728, 12.1728, 12.1728 Å; angles 60.00, 60.00, 60.00 degrees
Sites, in units of the cell vectors:
Na 0.0000 0.0000 0.5000
Na 0.3568 0.8811 0.8811
Ba 0.7021 0.2979 0.2979
Ba 0.7021 0.2979 0.7021
Na 0.8811 0.3568 0.8811
Na 0.0000 0.5000 0.0000
Na 0.5000 0.5000 0.0000
Na 0.0157 0.3281 0.3281
Na 0.3281 0.0157 0.3281
Na 0.8811 0.8811 0.3568
Ba 0.2979 0.7021 0.7021
Na 0.6432 0.1189 0.1189
Na 0.0000 0.5000 0.5000
Na 0.6719 0.9843 0.6719
Na 0.5000 0.0000 0.5000
Na 0.6719 0.6719 0.6719
Na 0.9843 0.6719 0.6719
Na 0.3281 0.3281 0.3281
Na 0.1189 0.1189 0.6432
Ba 0.7021 0.7021 0.2979
Na 0.0000 0.0000 0.0000
Na 0.5000 0.0000 0.0000
Na 0.1189 0.6432 0.1189
Na 0.8811 0.8811 0.8811
Ba 0.2979 0.2979 0.7021
Ba 0.2979 0.7021 0.2979
Na 0.3281 0.3281 0.0157
Na 0.6719 0.6719 0.9843
In 0.5000 0.5000 0.5000
Na 0.1189 0.1189 0.1189

=====

(8)
The following is a DFT calculation (GGA-PBE) of a relaxed structure of Ba5NaIn2.

## Properties
Its volume is 49.62 Å³ per atom. As for the formation energy: -228 meV/atom. As for the crystal system: tetragonal. For the mass density, the calculation gives 3.9 Mg/m³.

Cell lengths 9.8597, 9.8597, 10.7381 Å; angles 117.33, 117.33, 90.00 degrees
Sites, in units of the cell vectors:
Ba 0.0000 0.0000 0.0000
Ba 0.7941 0.9753 0.2695
Ba 0.2941 0.7941 0.2695
Ba 0.0247 0.5247 0.7305
Ba 0.9753 0.4753 0.2695
Na 0.7500 0.7500 0.5000
Ba 0.2059 0.0247 0.7305
In 0.6296 0.1296 0.0000
Na 0.2500 0.2500 0.5000
In 0.1296 0.3704 0.0000
Ba 0.5000 0.5000 0.0000
In 0.8704 0.6296 0.0000
Ba 0.5247 0.7059 0.7305
Ba 0.7059 0.2059 0.7305
In 0.3704 0.8704 0.0000
Ba 0.4753 0.2941 0.2695